Material: Rb3SeCl6
Method: DFT, PBE
State: optimized geometry

Properties
ΔE_f (raw): -1202 meV/atom
D(E_F): 0.00 states/eV per cell
Uncorrected energy: -29.49 eV per cell
Spin magnetization: 0.100 μB per atom
Volume: 36.933 Å³/atom

a b c (Å): 7.756 7.756 8.232
angles (deg): 61.89 61.89 90.00
Each line ends with the local moment (μB).
Fractional coordinates of all 10 atoms:
Se1 0.500 0.500 0.000  0.41
Rb1 0.750 0.250 0.500  0.00
Rb2 0.250 0.750 0.500  0.00
Rb3 0.000 0.000 0.000  0.01
Cl1 0.254 0.254 0.492  0.13
Cl2 0.746 0.746 0.508  0.13
Cl3 0.281 0.281 0.000  0.01
Cl4 0.719 0.719 0.000  0.01
Cl5 0.719 0.281 0.000  0.01
Cl6 0.281 0.719 0.000  0.01


Material: RbSe2Cl2
Method: DFT, PBE
State: optimized geometry

Properties
ΔE_f (raw): -496 meV/atom
D(E_F): 5.16 states/eV per cell
Uncorrected energy: -14.11 eV per cell
Spin magnetization: 0.108 μB per atom
Volume: 27.625 Å³/atom

a b c (Å): 3.825 3.825 9.821
angles (deg): 78.77 78.77 90.00
Each line ends with the local moment (μB).
Fractional coordinates of all 5 atoms:
Se1 0.750 0.250 0.500  0.09
Se2 0.250 0.750 0.500  0.09
Rb1 0.000 0.000 0.000  0.00
Cl1 0.400 0.400 0.199  0.11
Cl2 0.600 0.600 0.801  0.11


Material: RbSe2Cl
Method: DFT, PBE
State: optimized geometry

Properties
ΔE_f (raw): 197 meV/atom
D(E_F): 4.09 states/eV per cell
Uncorrected energy: -8.99 eV per cell
Spin magnetization: 1.000 μB per atom
Volume: 32.064 Å³/atom

a b c (Å): 5.661 5.661 5.661
angles (deg): 60.00 60.00 60.00
Each line ends with the local moment (μB).
Fractional coordinates of all 4 atoms:
Se1 0.250 0.250 0.250  1.03
Se2 0.750 0.750 0.750  1.03
Rb1 0.500 0.500 0.500  0.03
Cl1 0.000 0.000 0.000  0.50


Material: RbSeCl
Method: DFT, PBE
State: optimized geometry

Properties
ΔE_f (raw): -990 meV/atom
D(E_F): 0.99 states/eV per cell
Uncorrected energy: -18.54 eV per cell
Spin magnetization: 0.000 μB per atom
Volume: 37.533 Å³/atom

a b c (Å): 6.518 7.455 5.758
angles (deg): 100.28 124.47 90.01
Fractional coordinates of all 6 atoms:
Rb1 0.520 0.273 0.890
Rb2 0.020 0.773 0.890
Se1 0.395 0.732 0.640
Se2 0.645 0.814 0.141
Cl1 0.838 0.126 0.527
Cl2 0.202 0.420 0.254


Material: Rb2Se2Cl
Method: DFT, PBE
State: optimized geometry

Properties
ΔE_f (raw): -1105 meV/atom
D(E_F): 0.87 states/eV per cell
Uncorrected energy: -16.28 eV per cell
Spin magnetization: 0.000 μB per atom
Volume: 31.313 Å³/atom

a b c (Å): 4.048 4.048 9.973
angles (deg): 78.29 78.29 90.00
Fractional coordinates of all 5 atoms:
Se1 0.750 0.250 0.500
Se2 0.250 0.750 0.500
Rb1 0.399 0.399 0.201
Rb2 0.601 0.601 0.799
Cl1 0.000 0.000 0.000


Material: Rb2Se2Cl
Method: DFT, PBE
State: optimized geometry

Properties
ΔE_f (raw): -1015 meV/atom
D(E_F): 2.38 states/eV per cell
Uncorrected energy: -31.65 eV per cell
Spin magnetization: 0.200 μB per atom
Volume: 41.684 Å³/atom

a b c (Å): 8.846 8.846 5.327
angles (deg): 90.00 90.00 90.00
Each line ends with the local moment (μB).
Fractional coordinates of all 10 atoms:
Se1 0.092 0.592 0.500  0.28
Se2 0.592 0.908 0.500  0.28
Se3 0.908 0.408 0.500  0.28
Se4 0.408 0.092 0.500  0.28
Rb1 0.309 0.809 0.000  0.00
Rb2 0.809 0.691 0.000  0.00
Rb3 0.691 0.191 0.000  0.00
Rb4 0.191 0.309 0.000  0.00
Cl1 0.000 0.000 0.000  0.02
Cl2 0.500 0.500 0.000  0.02